Version 1
# HfPPtO PBE-GGA optimized geometry
data_HfPPtO
_chemical_formula_sum 'Hf1 P1 Pt1 O1'
_space_group_name_H-M_alt 'P 4/m m m'
_space_group_IT_number 123
_space_group_name_Hall '-P 4 2'
_cell_length_a 3.7287
_cell_length_b 3.7287
_cell_length_c 4.4433
_cell_angle_alpha 90.00
_cell_angle_beta 90.00
_cell_angle_gamma 90.00
loop_
_atom_site_label
_atom_site_fract_x
_atom_site_fract_y
_atom_site_fract_z
Hf1 0.0000 0.0000 0.0000
P1 0.5000 0.5000 0.0000
Pt1 0.5000 0.5000 0.5000
O1 0.0000 0.0000 0.5000
# Magnetization, μB/atom: 0.00


Version 2
# HfPPtO PBE-GGA optimized geometry
data_HfPPtO
_chemical_formula_sum 'Hf2 P2 Pt2 O2'
_space_group_name_H-M_alt 'P m c 21'
_space_group_IT_number 26
_space_group_name_Hall 'P 2c -2'
_cell_length_a 3.4758
_cell_length_b 6.3183
_cell_length_c 6.5016
_cell_angle_alpha 90.00
_cell_angle_beta 90.00
_cell_angle_gamma 90.00
loop_
_atom_site_label
_atom_site_fract_x
_atom_site_fract_y
_atom_site_fract_z
Hf1 0.0000 0.1257 0.0000
P1 0.0000 0.2701 0.3789
Pt1 0.5000 0.2337 0.6105
O1 0.5000 0.2722 0.9514
# Magnetization, μB/atom: 0.00


Least stable = version 1


Version 1
# HfPPtO PBE-GGA optimized geometry
data_HfPPtO
_chemical_formula_sum 'Hf2 P2 Pt2 O2'
_space_group_name_H-M_alt 'P 4/n m m'
_space_group_IT_number 129
_cell_length_a 3.7359
_cell_length_b 3.7359
_cell_length_c 7.9644
_cell_angle_alpha 90.00
_cell_angle_beta 90.00
_cell_angle_gamma 90.00
loop_
_space_group_symop_operation_xyz
'x,y,z'
'-x,-y,-z'
'-y+1/2,x,z'
'y+1/2,-x,-z'
'-x+1/2,-y+1/2,z'
'x+1/2,y+1/2,-z'
'y,-x+1/2,z'
'-y,x+1/2,-z'
'x+1/2,-y,-z'
'-x+1/2,y,z'
'-y,-x,-z'
'y,x,z'
'-x,y+1/2,-z'
'x,-y+1/2,z'
'y+1/2,x+1/2,-z'
'-y+1/2,-x+1/2,z'
loop_
_atom_site_label
_atom_site_fract_x
_atom_site_fract_y
_atom_site_fract_z
Hf1 0.2500 0.2500 0.1526
P1 0.2500 0.2500 0.7088
Pt1 0.2500 0.7500 0.5000
O1 0.2500 0.7500 0.0000
# Magnetization, μB/atom: 0.00


Version 2
# HfPPtO PBE-GGA optimized geometry
data_HfPPtO
_chemical_formula_sum 'Hf2 P2 Pt2 O2'
_space_group_name_H-M_alt 'P m c 21'
_space_group_IT_number 26
_space_group_name_Hall 'P 2c -2'
_cell_length_a 3.6305
_cell_length_b 5.6511
_cell_length_c 7.0391
_cell_angle_alpha 90.00
_cell_angle_beta 90.00
_cell_angle_gamma 90.00
loop_
_atom_site_label
_atom_site_fract_x
_atom_site_fract_y
_atom_site_fract_z
Hf1 0.0000 0.1145 0.0000
P1 0.5000 0.2553 0.3890
Pt1 0.5000 0.4347 0.1024
O1 0.0000 0.1059 0.7193
# Magnetization, μB/atom: 0.00


Least stable = version 2


Version 1
# RbHfPO PBE-GGA optimized geometry
data_RbHfPO
_chemical_formula_sum 'Rb2 Hf2 P2 O2'
_space_group_name_H-M_alt 'P 4/n m m'
_space_group_IT_number 129
_cell_length_a 3.8766
_cell_length_b 3.8766
_cell_length_c 9.8133
_cell_angle_alpha 90.00
_cell_angle_beta 90.00
_cell_angle_gamma 90.00
loop_
_space_group_symop_operation_xyz
'x,y,z'
'-x,-y,-z'
'-y+1/2,x,z'
'y+1/2,-x,-z'
'-x+1/2,-y+1/2,z'
'x+1/2,y+1/2,-z'
'y,-x+1/2,z'
'-y,x+1/2,-z'
'x+1/2,-y,-z'
'-x+1/2,y,z'
'-y,-x,-z'
'y,x,z'
'-x,y+1/2,-z'
'x,-y+1/2,z'
'y+1/2,x+1/2,-z'
'-y+1/2,-x+1/2,z'
loop_
_atom_site_label
_atom_site_fract_x
_atom_site_fract_y
_atom_site_fract_z
Rb1 0.2500 0.7500 0.0000
Hf1 0.2500 0.2500 0.3932
P1 0.2500 0.2500 0.7442
O1 0.2500 0.7500 0.5000
# Magnetization, μB/atom: 0.00


Version 2
# RbHfPO PBE-GGA optimized geometry
data_RbHfPO
_chemical_formula_sum 'Rb2 Hf2 P2 O2'
_space_group_name_H-M_alt 'P 4/n m m'
_space_group_IT_number 129
_cell_length_a 4.4994
_cell_length_b 4.4994
_cell_length_c 11.0913
_cell_angle_alpha 90.00
_cell_angle_beta 90.00
_cell_angle_gamma 90.00
loop_
_space_group_symop_operation_xyz
'x,y,z'
'-x,-y,-z'
'-y+1/2,x,z'
'y+1/2,-x,-z'
'-x+1/2,-y+1/2,z'
'x+1/2,y+1/2,-z'
'y,-x+1/2,z'
'-y,x+1/2,-z'
'x+1/2,-y,-z'
'-x+1/2,y,z'
'-y,-x,-z'
'y,x,z'
'-x,y+1/2,-z'
'x,-y+1/2,z'
'y+1/2,x+1/2,-z'
'-y+1/2,-x+1/2,z'
loop_
_atom_site_label
_atom_site_fract_x
_atom_site_fract_y
_atom_site_fract_z
Rb1 0.2500 0.2500 0.1411
Hf1 0.2500 0.7500 0.5000
P1 0.2500 0.2500 0.6082
O1 0.2500 0.7500 0.0000
# Magnetization, μB/atom: 0.29


Version 3
# RbHfPO PBE-GGA optimized geometry
data_RbHfPO
_chemical_formula_sum 'Rb2 Hf2 P2 O2'
_space_group_name_H-M_alt 'P m c 21'
_space_group_IT_number 26
_space_group_name_Hall 'P 2c -2'
_cell_length_a 3.6077
_cell_length_b 7.4586
_cell_length_c 7.6904
_cell_angle_alpha 90.00
_cell_angle_beta 90.00
_cell_angle_gamma 90.00
loop_
_atom_site_label
_atom_site_fract_x
_atom_site_fract_y
_atom_site_fract_z
Rb1 0.0000 0.2144 0.0000
Hf1 0.5000 0.3028 0.4568
P1 0.5000 0.4727 0.7275
O1 0.0000 0.1774 0.4358
# Magnetization, μB/atom: 0.00


Version 4
# RbHfPO PBE-GGA optimized geometry
data_RbHfPO
_chemical_formula_sum 'Rb2 Hf2 P2 O2'
_space_group_name_H-M_alt 'P m c 21'
_space_group_IT_number 26
_space_group_name_Hall 'P 2c -2'
_cell_length_a 4.0008
_cell_length_b 8.5207
_cell_length_c 6.4655
_cell_angle_alpha 90.00
_cell_angle_beta 90.00
_cell_angle_gamma 90.00
loop_
_atom_site_label
_atom_site_fract_x
_atom_site_fract_y
_atom_site_fract_z
Rb1 0.0000 0.1695 0.0000
Hf1 0.5000 0.3916 0.5665
P1 0.0000 0.2271 0.4929
O1 0.5000 0.4285 0.8718
# Magnetization, μB/atom: 0.00


Least stable = version 2


Version 1
# HfScPO PBE-GGA optimized geometry
data_HfScPO
_chemical_formula_sum 'Hf2 Sc2 P2 O2'
_space_group_name_H-M_alt 'P 4/n m m'
_space_group_IT_number 129
_cell_length_a 3.7904
_cell_length_b 3.7904
_cell_length_c 8.2786
_cell_angle_alpha 90.00
_cell_angle_beta 90.00
_cell_angle_gamma 90.00
loop_
_space_group_symop_operation_xyz
'x,y,z'
'-x,-y,-z'
'-y+1/2,x,z'
'y+1/2,-x,-z'
'-x+1/2,-y+1/2,z'
'x+1/2,y+1/2,-z'
'y,-x+1/2,z'
'-y,x+1/2,-z'
'x+1/2,-y,-z'
'-x+1/2,y,z'
'-y,-x,-z'
'y,x,z'
'-x,y+1/2,-z'
'x,-y+1/2,z'
'y+1/2,x+1/2,-z'
'-y+1/2,-x+1/2,z'
loop_
_atom_site_label
_atom_site_fract_x
_atom_site_fract_y
_atom_site_fract_z
Hf1 0.2500 0.2500 0.1380
Sc1 0.2500 0.7500 0.5000
P1 0.2500 0.2500 0.7170
O1 0.2500 0.7500 0.0000
# Magnetization, μB/atom: 0.06


Version 2
# HfScPO PBE-GGA optimized geometry
data_HfScPO
_chemical_formula_sum 'Hf2 Sc2 P2 O2'
_space_group_name_H-M_alt 'P m c 21'
_space_group_IT_number 26
_space_group_name_Hall 'P 2c -2'
_cell_length_a 3.7424
_cell_length_b 7.1643
_cell_length_c 5.3615
_cell_angle_alpha 90.00
_cell_angle_beta 90.00
_cell_angle_gamma 90.00
loop_
_atom_site_label
_atom_site_fract_x
_atom_site_fract_y
_atom_site_fract_z
Hf1 0.0000 0.1205 0.0000
Sc1 0.5000 0.2794 0.4661
P1 0.5000 0.3570 0.9576
O1 0.0000 0.1631 0.3922
# Magnetization, μB/atom: 0.00


Least stable = version 1